Computed, not measured: LiAl2Cd at its PBEsol-relaxed geometry at the meta-GGA SCAN level of DFT.

Values from the calculation:
Total moment   0.0 μB/cell
Energy of formation from the pure elements   -0.062 eV/atom
Final energy   -12.139 eV per atom

```
4
Lattice="-2.0234 2.0234 4.2195 2.0234 -2.0234 4.2195 2.0234 2.0234 -4.2195" Properties=species:S:1:pos:R:3 pbc="T T T"
Li 0.0000 0.0000 0.0000
Al 2.0234 0.0000 2.1097
Al 0.0000 2.0234 2.1097
Cd 0.0000 0.0000 4.2195
```